Here is a relaxed InCuIr2 crystal from Alexandria via LeMat-Bulk. Energies are from PBE.

Cell: 4.758 4.758 4.830 Å, 79.80 79.80 35.42°
Fractional coordinates of all 4 atoms:
In: 0.748 0.748 0.737
Ir: 0.995 0.995 0.030
Ir: 0.253 0.253 0.240
Cu: 0.504 0.504 0.494

Summary:
symmetry = Cm (8)
energy relative to the elements = 0.133 eV per atom

Here is a relaxed Pm4RuRh2 crystal from Alexandria via LeMat-Bulk. Energies are from PBE.

Cell: 7.606 7.606 7.607 Å, 109.56 109.61 109.23°
Fractional coordinates of all 14 atoms:
Pm: 0.257 0.508 0.137
Pm: 0.879 0.242 0.249
Pm: 0.372 0.122 0.373
Pm: 0.371 0.120 0.863
Pm: 0.993 0.630 0.751
Pm: 0.749 0.999 0.626
Pm: 0.501 0.627 0.750
Pm: 0.877 0.751 0.250
Rh: 0.759 0.375 0.884
Rh: 0.125 0.269 0.644
Rh: 0.625 0.481 0.356
Rh: 0.492 0.875 0.117
Ru: 0.019 0.019 0.000
Ru: 0.231 0.731 0.500

Summary:
symmetry = I2_12_12_1 (24)
energy relative to the elements = -0.471 eV per atom

Here is a relaxed FeCo2Tc crystal from Alexandria via LeMat-Bulk. Energies are from PBE.

Cell: 2.577 2.577 7.194 Å, 90.00 90.00 90.00°
Fractional coordinates of all 4 atoms:
Tc: 0.500 0.500 0.755
Fe: 0.000 0.000 0.484
Co: 0.500 0.500 0.245
Co: 0.000 0.000 0.016

Summary:
symmetry = P4mm (99)
energy relative to the elements = 0.081 eV per atom
offset from the most stable computed form = 25 meV/atom

Here is a relaxed Ti2Be16H crystal from Alexandria via LeMat-Bulk. Energies are from PBE.

Cell: 5.537 5.537 5.537 Å, 83.21 83.21 83.21°
Fractional coordinates of all 19 atoms:
Be: 0.703 0.005 0.308
Be: 0.658 0.658 0.165
Be: 0.658 0.165 0.658
Be: 0.845 0.347 0.347
Be: 0.347 0.347 0.845
Be: 0.002 0.507 0.002
Be: 0.308 0.005 0.703
Be: 0.005 0.308 0.703
Be: 0.308 0.703 0.005
Be: 0.005 0.703 0.308
Be: 0.703 0.308 0.005
Be: 0.507 0.002 0.002
Be: 0.092 0.092 0.092
Be: 0.165 0.658 0.658
Be: 0.002 0.002 0.507
Be: 0.347 0.845 0.347
Ti: 0.340 0.340 0.340
Ti: 0.669 0.669 0.669
H: 0.838 0.838 0.838

Summary:
symmetry = R3m (160)

V in Å³ per cell, matching the order above: 62.3, 338.9, 47.8, 166.5
Total energy in eV/atom, matching the order above: -6.01, -6.61, -8.18, -4.25